# RbUCu2Te4

An optimized crystal structure of RbUCu2Te4 (PBE, the Alexandria database).

Cell: 6.875 7.365 7.365 Å, 75.22 62.18 62.18°
Last column: magnetic moment on the atom in μB.
Atoms (fractional coordinates):
U: 0.500 0.500 0.500  1.76
Te: 0.923 0.504 0.132  -0.10
Te: 0.558 0.496 0.868  -0.10
Rb: 0.000 0.000 0.000  0.00
Te: 0.077 0.868 0.496  -0.10
Cu: 0.130 0.370 0.370  -0.07
Te: 0.442 0.132 0.504  -0.10
Cu: 0.870 0.630 0.630  -0.07

## Properties
formation energy without anion corrections = -243 meV per atom
density of states at the Fermi level = 0.95 states/eV per atom
calculated density = 5.5 Mg/m³
symmetry = I222, No. 23



# Be2TlCo

An optimized crystal structure of Be2TlCo (PBE, the Alexandria database).

Cell: 3.405 2.763 5.939 Å, 90.47 90.00 90.00°
Atoms (fractional coordinates):
Be: 0.500 0.013 0.303
Tl: 0.500 0.964 0.737
Co: 0.000 0.515 0.374
Be: 0.000 0.008 0.086

## Properties
density of states at the Fermi level = 0.52 states/eV per atom
calculated density = 8.4 Mg/m³
offset from the most stable computed form = 148 meV/atom
calculated formation energy = 0.351 eV/atom
symmetry = Pm, No. 6



# U2CuGe

An optimized crystal structure of U2CuGe (PBE, the Alexandria database).

Cell: 4.780 3.824 3.824 Å, 90.00 90.00 90.00°
Last column: magnetic moment on the atom in μB.
Atoms (fractional coordinates):
Ge: 0.500 0.500 0.500  -0.03
U: 0.000 0.500 0.000  0.72
U: 0.000 0.000 0.500  0.72
Cu: 0.500 0.000 0.000  0.01

## Properties
density of states at the Fermi level = 1.28 states/eV per atom
calculated density = 14.5 Mg/m³
calculated formation energy = -0.056 eV/atom
symmetry = P4/mmm, No. 123



# TbGdTm

An optimized crystal structure of TbGdTm (PBE, the Alexandria database).

Cell: 3.460 5.607 5.607 Å, 120.00 90.00 90.00°
Last column: magnetic moment on the atom in μB.
Atoms (fractional coordinates):
Tm: 0.167 0.667 0.333  0.13
Gd: 0.167 0.000 0.000  7.26
Tb: 0.667 0.333 0.667  0.11

## Properties
density of states at the Fermi level = 1.77 states/eV per atom
calculated density = 8.6 Mg/m³
offset from the most stable computed form = 43 meV/atom
calculated formation energy = 0.067 eV/atom
symmetry = P-6m2, No. 187



# Al2TlSe

An optimized crystal structure of Al2TlSe (PBE, the Alexandria database).

Cell: 3.794 7.052 5.563 Å, 37.11 90.00 90.00°
Atoms (fractional coordinates):
Se: 0.500 0.500 0.500
Tl: 0.000 0.000 0.500
Al: 0.000 0.000 0.000
Al: 0.500 0.500 0.000

## Properties
formation energy without anion corrections = 32 meV per atom
density of states at the Fermi level = 0.35 states/eV per atom
calculated density = 6.2 Mg/m³
offset from the most stable computed form = 153 meV/atom
symmetry = P2/m, No. 10



# Sm2ErTmTe6

An optimized crystal structure of Sm2ErTmTe6 (PBE, the Alexandria database).

Cell: 7.746 7.746 8.329 Å, 62.29 62.29 60.00°
Atoms (fractional coordinates):
Te: 0.931 0.594 0.255
Sm: 0.512 0.512 0.463
Te: 0.096 0.430 0.756
Tm: 0.325 0.325 0.026
Te: 0.718 0.096 0.756
Te: 0.594 0.219 0.255
Te: 0.219 0.931 0.256
Sm: 0.012 0.012 0.964
Te: 0.430 0.718 0.756
Er: 0.824 0.824 0.527

## Properties
formation energy without anion corrections = -1355 meV per atom
calculated density = 6.4 Mg/m³
symmetry = R3, No. 146



# BeIrRhO6

An optimized crystal structure of BeIrRhO6 (PBE, the Alexandria database).

Cell: 4.871 4.871 8.368 Å, 90.00 90.00 120.00°
Last column: magnetic moment on the atom in μB.
Atoms (fractional coordinates):
Ir: 0.667 0.333 0.750  0.35
Be: 0.667 0.333 0.250  0.00
Be: 0.333 0.667 0.750  0.00
Ir: 0.333 0.667 0.250  0.35
O: 0.664 0.020 0.369  0.09
O: 0.644 0.980 0.869  0.09
O: 0.336 0.356 0.869  0.09
O: 0.336 0.980 0.631  0.09
O: 0.356 0.336 0.369  0.09
Rh: 0.000 0.000 0.000  0.22
Rh: 0.000 0.000 0.500  0.22
O: 0.020 0.356 0.631  0.09
O: 0.020 0.664 0.869  0.09
O: 0.644 0.664 0.631  0.09
O: 0.980 0.644 0.369  0.09
O: 0.664 0.644 0.131  0.09
O: 0.980 0.336 0.131  0.09
O: 0.356 0.020 0.131  0.09

## Properties
formation energy without anion corrections = -976 meV per atom
density of states at the Fermi level = 0.68 states/eV per atom
calculated density = 7.7 Mg/m³
symmetry = P-31c, No. 163



# BaLi2PmTl4

An optimized crystal structure of BaLi2PmTl4 (PBE, the Alexandria database).

Cell: 4.925 4.925 11.509 Å, 77.65 77.65 60.00°
Atoms (fractional coordinates):
Tl: 0.881 0.881 0.357
Tl: 0.400 0.400 0.800
Li: 0.232 0.232 0.304
Pm: 0.500 0.500 0.500
Li: 0.768 0.768 0.696
Tl: 0.600 0.600 0.200
Ba: 0.000 0.000 0.000
Tl: 0.119 0.119 0.643

## Properties
density of states at the Fermi level = 0.49 states/eV per atom
calculated density = 7.9 Mg/m³
calculated formation energy = -0.342 eV/atom
symmetry = R-3m, No. 166



# Tb2Ho2Sc7

An optimized crystal structure of Tb2Ho2Sc7 (PBE, the Alexandria database).

Cell: 11.101 6.030 6.030 Å, 115.08 107.92 107.92°
Atoms (fractional coordinates):
Tb: 0.500 0.790 0.210
Sc: 0.144 0.006 0.593
Sc: 0.856 0.407 0.994
Tb: 0.500 0.210 0.790
Sc: 0.856 0.994 0.407
Sc: 0.144 0.593 0.006
Sc: 0.364 0.206 0.206
Sc: 0.636 0.794 0.794
Ho: 0.747 0.430 0.430
Ho: 0.253 0.570 0.570
Sc: 0.000 0.000 0.000

## Properties
density of states at the Fermi level = 1.58 states/eV per atom
calculated density = 5.3 Mg/m³
calculated formation energy = 0.135 eV/atom
symmetry = C2/m, No. 12



# CaBeRe2

An optimized crystal structure of CaBeRe2 (PBE, the Alexandria database).

Cell: 5.283 5.283 5.283 Å, 138.08 138.08 60.78°
Atoms (fractional coordinates):
Be: 0.250 0.750 0.500
Ca: 0.750 0.250 0.500
Re: 0.000 0.000 0.000
Re: 0.500 0.500 0.000

## Properties
density of states at the Fermi level = 0.54 states/eV per atom
calculated density = 10.7 Mg/m³
calculated formation energy = 0.778 eV/atom
symmetry = I4/mmm, No. 139



# HfTc2P2

An optimized crystal structure of HfTc2P2 (PBE, the Alexandria database).

Cell: 4.305 4.305 5.316 Å, 66.11 66.11 90.00°
Atoms (fractional coordinates):
Tc: 0.633 0.633 0.733
Hf: 0.000 0.000 0.000
Tc: 0.367 0.367 0.267
P: 0.750 0.250 0.500
P: 0.250 0.750 0.500

## Properties
density of states at the Fermi level = 0.82 states/eV per atom
calculated density = 9.0 Mg/m³
offset from the most stable computed form = 141 meV/atom
calculated formation energy = -0.329 eV/atom
symmetry = I4/mmm, No. 139



# Ce4Tm3Si4

An optimized crystal structure of Ce4Tm3Si4 (PBE, the Alexandria database).

Cell: 3.593 8.549 9.808 Å, 115.84 100.55 90.00°
Last column: magnetic moment on the atom in μB.
Atoms (fractional coordinates):
Si: 0.500 0.223 0.000  -0.01
Ce: 0.330 0.167 0.660  0.44
Si: 0.500 0.777 0.000  -0.01
Ce: 0.670 0.833 0.340  0.44
Tm: 0.000 0.500 0.000  -0.02
Tm: 0.907 0.907 0.813  0.03
Si: 0.280 0.780 0.560  -0.01
Si: 0.720 0.220 0.440  -0.01
Ce: 0.670 0.507 0.340  0.44
Ce: 0.330 0.493 0.660  0.44
Tm: 0.093 0.093 0.187  0.03

## Properties
formation energy without anion corrections = -494 meV per atom
density of states at the Fermi level = 1.61 states/eV per atom
calculated density = 7.4 Mg/m³
symmetry = Immm, No. 71